Entry from the Alexandria database: KNa2HgF6 after structural relaxation (PBE-GGA).

The structure in POSCAR format:
```
KNa2HgF6
1.0
6.0111 0.0022 0.0023
3.0074 5.2033 0.0017
3.0078 1.7359 5.3701
K Na Hg F
1 2 1 6
direct
0.8003 0.8006 0.5984
0.5235 0.5237 0.4287
0.0115 0.0117 0.9656
0.3199 0.3200 0.0402
0.5925 0.2415 0.2328
0.2412 0.9336 0.2330
0.9338 0.5915 0.2334
0.3597 0.7140 0.7608
0.7135 0.1648 0.7616
0.1656 0.3600 0.7606
```

Summary:
SG: R3 (146)
E_tot (eV/atom): -3.645



Entry from the Alexandria database: LaYMnZn after structural relaxation (PBE-GGA).

The structure in POSCAR format:
```
LaYMnZn
1.0
-4.9085 1.5982 -0.1064
-3.0212 -1.2054 -4.0098
-3.8369 -3.4044 0.5900
Y Zn Mn La
1 1 1 1
direct
0.5000 0.5000 0.5000
0.2500 0.2500 0.2500
0.7500 0.7500 0.7500
0.0000 0.0000 0.0000
```

Summary:
SG: F-43m (216)
E_tot (eV/atom): -5.470



Entry from the Alexandria database: BeWCl2 after structural relaxation (PBE-GGA).

The structure in POSCAR format:
```
BeWCl2
1.0
9.1932 0.0421 0.0263
8.6812 3.0231 0.0264
8.6816 1.4892 2.6336
Be W Cl
1 1 2
direct
0.7481 0.7484 0.7480
0.4931 0.4925 0.4934
0.0345 0.0346 0.0345
0.2242 0.2244 0.2242
```

Summary:
SG: R3m (160)
Energy above the lowest structure with this stoichiometry (eV/f.u.): 0.000
E_tot (eV/atom): -5.273



Entry from the Alexandria database: Nd2HoRh9 after structural relaxation (PBE-GGA).

The structure in POSCAR format:
```
Nd2HoRh9
1.0
-0.4401 5.2580 0.3413
-2.1445 2.7375 -3.9830
-8.8976 1.7525 2.4856
Nd Ho Rh
2 1 9
direct
0.8615 0.8615 0.4156
0.1385 0.1385 0.5844
0.0000 0.0000 0.0000
0.6672 0.6672 0.9984
0.3328 0.3328 0.0016
0.5000 0.5000 0.5000
0.4194 0.4194 0.2430
0.9182 0.4194 0.2430
0.4194 0.9182 0.2430
0.5806 0.5806 0.7570
0.5806 0.0818 0.7570
0.0818 0.5806 0.7570
```

Summary:
SG: R-3m (166)
E_tot (eV/atom): -7.201



Entry from the Alexandria database: NpTl2AgBr8 after structural relaxation (PBE-GGA).

The structure in POSCAR format:
```
NpTl2AgBr8
1.0
7.0368 -0.3770 -0.0097
-0.4408 6.9060 0.0034
-0.0031 0.0248 9.9963
Np Tl Ag Br
1 2 1 8
direct
0.0000 0.0000 0.0000
0.4991 0.4997 0.7304
0.5009 0.5003 0.2696
0.0000 0.0000 0.5000
0.1251 0.7753 0.1947
0.6576 0.7771 0.9994
0.8746 0.2224 0.1946
0.8749 0.2247 0.8053
0.3424 0.2229 0.0006
0.1254 0.7776 0.8054
0.6930 0.7718 0.5001
0.3070 0.2282 0.4999
```

Summary:
SG: P-1 (2)
E_tot (eV/atom): -3.692



Entry from the Alexandria database: Sc2PIrPb after structural relaxation (PBE-GGA).

The structure in POSCAR format:
```
Sc2PIrPb
1.0
5.3661 0.0000 0.0000
0.0000 4.8183 0.0000
0.0000 0.0000 5.3661
Pb Sc Ir P
1 2 1 1
direct
0.0000 0.0000 0.0000
0.0000 0.0000 0.5000
0.5000 0.0000 0.0000
0.5000 0.5000 0.5000
0.0000 0.5000 0.0000
```

Summary:
SG: P4/mmm (123)
E_tot (eV/atom): -4.813



Entry from the Alexandria database: Pr4ErTh3S8 after structural relaxation (PBE-GGA).

The structure in POSCAR format:
```
Pr4ErTh3S8
1.0
-2.7428 -4.9031 5.8131
1.1044 -6.4016 -4.8784
6.1593 5.0105 1.5109
Pr Er Th S
4 1 3 8
direct
0.5000 0.0000 0.0000
0.5000 0.0000 0.5000
0.0000 0.0000 0.0000
0.0000 0.0000 0.5000
0.0000 0.5000 0.0000
0.5000 0.5000 0.0000
0.5000 0.5000 0.5000
0.0000 0.5000 0.5000
0.2423 0.7396 0.9973
0.2423 0.7396 0.4847
0.2509 0.2528 0.5018
0.7550 0.7396 0.9973
0.2450 0.2604 0.0027
0.7491 0.7472 0.4982
0.7577 0.2604 0.5153
0.7577 0.2604 0.0027
```

Summary:
SG: R-3m (166)
E_tot (eV/atom): -6.871



Entry from the Alexandria database: YCu after structural relaxation (PBE-GGA).

The structure in POSCAR format:
```
YCu
1.0
-4.6339 -2.7953 2.8456
-1.2538 -5.9637 -0.4963
4.1415 4.2693 1.4160
Cu Y
2 2
direct
0.4155 0.6655 0.2500
0.5845 0.3345 0.7500
0.8602 0.1102 0.2500
0.1398 0.8898 0.7500
```

Summary:
SG: Imma (74)
E_tot (eV/atom): -5.375



Look up the E_tot of the fourth one. -7.201 eV/atom



Among the records above, which one has the lowest E_tot? Nd2HoRh9



Which formula does entry 8 have? YCu